Record 1
ScIn2Si: single point on PBEsol structure, meta-GGA SCAN.

abc: 10.1208 4.1398 4.1405
angles: 90.00 114.04 90.00
Last column: nearest neighbours and their distance in Å.
Space group Cm (No. 8)
One atom of each set of equivalent atoms:
Sc 0.0000 0.0000 0.0000  8 In 2.93-3.10, 4 Si 3.09-3.11
In 0.0001 0.5000 0.5001  4 Sc 2.93, 4 Si 3.10-3.11, 4 In 3.10-3.11
In 0.2499 0.0000 0.7497  4 Si 2.93, 4 In 3.10-3.11, 4 Sc 3.10
Si 0.2509 0.5000 0.2507  8 In 2.93-3.11, 4 Sc 3.09-3.11

Results
total magnetic moment = 0.00 μB/cell
D(E_F) = 0.42 states/eV/atom
volume = 158.4 Å³/cell
ΔE to the lowest computed polymorph = 5.1 kJ/mol of atoms
formation energy without anion corrections = -82 kJ/mol of formula units

***

Record 2
ScIn2Si: single point on PBEsol structure, meta-GGA SCAN.

abc: 4.1319 4.1319 4.6559
angles: 90.00 90.00 90.00
Last column: nearest neighbours and their distance in Å.
Space group P4/mmm (No. 123)
One atom of each set of equivalent atoms:
Sc 0.0000 0.0000 0.0000  4 Si 2.92, 8 In 3.11
In 0.0000 0.5000 0.5000  4 In 2.92, 4 Sc 3.11, 4 Si 3.11
Si 0.5000 0.5000 0.0000  4 Sc 2.92, 8 In 3.11

Results
total magnetic moment = 0.00 μB/cell
D(E_F) = 0.37 states/eV/atom
volume = 79.5 Å³/cell
ΔE to the lowest computed polymorph = 2.1 kJ/mol of atoms
formation energy without anion corrections = -94 kJ/mol of formula units

***

Record 3
ScIn2Si: single point on PBEsol structure, meta-GGA SCAN.

abc: 4.0407 4.0407 9.6855
angles: 90.00 90.00 90.00
Last column: nearest neighbours and their distance in Å.
Space group I4/mmm (No. 139)
One atom of each set of equivalent atoms:
Sc 0.0000 0.0000 0.0000  4 Si 2.86, 8 In 3.15
In 0.0000 0.5000 0.2500  4 In 2.86, 4 Sc 3.15, 4 Si 3.15
Si 0.0000 0.0000 0.5000  4 Sc 2.86, 8 In 3.15

Results
total magnetic moment = 0.00 μB/cell
D(E_F) = 0.32 states/eV/atom
volume = 158.1 Å³/cell
ΔE to the lowest computed polymorph = 0.0 kJ/mol of atoms
formation energy without anion corrections = -102 kJ/mol of formula units